1.
A relaxed structure of Th2Co4TcGe3, computed with PBE-GGA.

Cell: 4.0745 4.0745 9.9445 Å, 90.00 90.00 90.00°
Fractional coordinates of all 10 atoms:
1 Th 0.0000 0.5000 0.2452
2 Th 0.5000 0.0000 0.7548
3 Co 0.0000 0.0000 0.0000
4 Co 0.0000 0.5000 0.6271
5 Co 0.5000 0.0000 0.3729
6 Co 0.5000 0.5000 0.0000
7 Tc 0.0000 0.0000 0.5000
8 Ge 0.0000 0.5000 0.8720
9 Ge 0.5000 0.0000 0.1280
10 Ge 0.5000 0.5000 0.5000

Values from the calculation:
The calculated formation energy comes out at -525 meV/atom. The value obtained for the density of states at the Fermi level is 0.86 states/eV per atom. The calculation puts the final energy at -72.73 eV for the cell shown. Its magnetic moment is 0.00 μB/atom. As for the symmetry: P-4m2 (115).

2.
A relaxed structure of ThCoTcGe2, computed with PBE-GGA.

Cell: 5.8553 5.8553 5.8553 Å, 137.75 137.75 61.28°
Fractional coordinates of all 5 atoms:
1 Th 0.0000 0.0000 0.0000
2 Co 0.2500 0.7500 0.5000
3 Tc 0.7500 0.2500 0.5000
4 Ge 0.3694 0.3694 0.0000
5 Ge 0.6306 0.6306 0.0000

Values from the calculation:
The calculated formation energy comes out at -522 meV/atom. The value obtained for the density of states at the Fermi level is 0.81 states/eV per atom. The calculation puts the final energy at -36.74 eV for the cell shown. Its magnetic moment is 0.00 μB/atom. As for the symmetry: I-4m2 (119).

3.
A relaxed structure of TiCoTcGe, computed with PBE-GGA.

Cell: 4.2362 4.2362 4.2362 Å, 60.00 60.00 60.00°
Fractional coordinates of all 4 atoms:
1 Ti 0.0000 0.0000 0.0000
2 Co 0.2500 0.2500 0.2500
3 Tc 0.7500 0.7500 0.7500
4 Ge 0.5000 0.5000 0.5000

Values from the calculation:
The calculated formation energy comes out at -463 meV/atom. The value obtained for the density of states at the Fermi level is 0.08 states/eV per atom. The calculation puts the final energy at -31.84 eV for the cell shown. Its magnetic moment is 0.00 μB/atom. As for the symmetry: F-43m (216).

Which value of magnetic moment does entry 2 give? 0.00 μB/atom